1.
Here is crystalline Sc4FeSe at its relaxed geometry from the Alexandria database. Energies are from PBE.

Geometry as POSCAR:
```
Sc4FeSe
1.0
0.000 4.042 4.042
4.042 0.000 4.042
4.042 4.042 0.000
Se Fe Sc
1 1 4
direct
0.750 0.750 0.750
0.000 0.000 0.000
0.374 0.374 0.374
0.374 0.374 0.879
0.374 0.879 0.374
0.879 0.374 0.374
```

Output
Calculated total energy: -5.78 eV/atom
Size of the total moment: 1.87 μB/cell
Density: 3.96 g cm⁻³
Energy relative to the elements, uncorrected: 251 kJ/mol of formula units

---

2.
Here is crystalline ScFe2Se at its relaxed geometry from the Alexandria database. Energies are from PBE.

Geometry as POSCAR:
```
ScFe2Se
1.0
3.939 -0.026 0.014
1.992 3.399 0.014
1.961 1.115 4.658
Fe Sc Se
2 1 1
direct
0.707 0.707 0.880
0.014 0.014 0.959
0.496 0.496 0.513
0.284 0.284 0.148
```

Output
Calculated total energy: -6.93 eV/atom
Size of the total moment: 2.89 μB/cell
Density: 6.26 g cm⁻³
Energy relative to the elements, uncorrected: -93 kJ/mol of formula units

---

3.
Here is crystalline ScFe3Se at its relaxed geometry from the Alexandria database. Energies are from PBE.

Geometry as POSCAR:
```
ScFe3Se
1.0
-1.027 0.200 4.409
0.879 -4.427 0.405
4.325 0.947 0.965
Fe Se Sc
3 1 1
direct
0.000 0.000 0.500
0.000 0.500 0.000
0.500 0.000 0.000
0.500 0.500 0.500
0.000 0.000 0.000
```

Output
Calculated total energy: -5.64 eV/atom
Size of the total moment: 6.83 μB/cell
Density: 5.20 g cm⁻³
Energy relative to the elements, uncorrected: 674 kJ/mol of formula units

---

4.
Here is crystalline ScFeSe2 at its relaxed geometry from the Alexandria database. Energies are from PBE.

Geometry as POSCAR:
```
ScFeSe2
1.0
3.597 0.000 0.000
0.000 3.597 0.000
0.000 0.000 6.152
Sc Se Fe
1 2 1
direct
0.500 0.500 0.774
0.000 0.000 0.896
0.500 0.500 0.352
0.000 0.000 0.478
```

Output
Calculated total energy: -6.31 eV/atom
Size of the total moment: 2.90 μB/cell
Density: 5.40 g cm⁻³
Energy relative to the elements, uncorrected: -337 kJ/mol of formula units

---

5.
Here is crystalline ScFeSe2 at its relaxed geometry from the Alexandria database. Energies are from PBE.

Geometry as POSCAR:
```
ScFeSe2
1.0
4.675 0.000 0.000
2.337 4.048 0.000
2.337 1.349 3.817
Sc Se Fe
1 2 1
direct
0.250 0.250 0.250
0.750 0.750 0.750
0.000 0.000 0.000
0.500 0.500 0.500
```

Output
Calculated total energy: -5.48 eV/atom
Size of the total moment: 2.64 μB/cell
Density: 5.95 g cm⁻³
Energy relative to the elements, uncorrected: -16 kJ/mol of formula units

---

6.
Here is crystalline ScFe2Se at its relaxed geometry from the Alexandria database. Energies are from PBE.

Geometry as POSCAR:
```
ScFe2Se
1.0
-3.205 -0.563 -1.040
-0.798 -1.179 3.098
-1.841 4.634 3.165
Fe Sc Se
2 1 1
direct
0.500 0.205 0.215
0.000 0.788 0.048
0.000 0.553 0.520
0.500 0.954 0.717
```

Output
Calculated total energy: -6.99 eV/atom
Size of the total moment: 5.20 μB/cell
Density: 5.94 g cm⁻³
Energy relative to the elements, uncorrected: -119 kJ/mol of formula units

---

7.
Here is crystalline ScFe2Se at its relaxed geometry from the Alexandria database. Energies are from PBE.

Geometry as POSCAR:
```
ScFe2Se
1.0
7.880 -0.001 -0.001
7.254 3.077 -0.001
7.254 1.474 2.701
Se Sc Fe
1 1 2
direct
0.750 0.750 0.750
0.250 0.250 0.250
0.010 0.010 0.010
0.490 0.490 0.490
```

Output
Calculated total energy: -6.47 eV/atom
Size of the total moment: 3.81 μB/cell
Density: 5.97 g cm⁻³
Energy relative to the elements, uncorrected: 82 kJ/mol of formula units

---

8.
Here is crystalline Sc2FeSe at its relaxed geometry from the Alexandria database. Energies are from PBE.

Geometry as POSCAR:
```
Sc2FeSe
1.0
4.582 0.000 0.000
2.291 3.968 0.000
2.291 1.323 3.741
Fe Sc Se
1 2 1
direct
0.500 0.500 0.500
0.250 0.250 0.250
0.000 0.000 0.000
0.750 0.750 0.750
```

Output
Calculated total energy: -6.14 eV/atom
Size of the total moment: 0.42 μB/cell
Density: 5.49 g cm⁻³
Energy relative to the elements, uncorrected: 4 kJ/mol of formula units

---

9.
Here is crystalline Sc2FeSe at its relaxed geometry from the Alexandria database. Energies are from PBE.

Geometry as POSCAR:
```
Sc2FeSe
1.0
3.748 0.000 0.000
0.000 3.750 0.000
0.000 0.000 5.543
Fe Se Sc
1 1 2
direct
0.500 0.500 0.876
0.000 0.000 0.422
0.500 0.500 0.284
0.000 0.000 0.919
```

Output
Calculated total energy: -6.68 eV/atom
Size of the total moment: 0.08 μB/cell
Density: 4.79 g cm⁻³
Energy relative to the elements, uncorrected: -202 kJ/mol of formula units

---

10.
Here is crystalline ScFeSi2Se at its relaxed geometry from the Alexandria database. Energies are from PBE.

Geometry as POSCAR:
```
ScFeSi2Se
1.0
-1.456 -3.151 -3.337
-3.107 -1.933 3.181
-3.397 3.093 -1.439
Fe Se Si Sc
1 1 2 1
direct
0.500 0.500 0.500
0.000 0.000 0.000
0.000 0.000 0.500
0.500 0.000 0.000
0.000 0.500 0.000
```

Output
Calculated total energy: -4.94 eV/atom
Size of the total moment: 2.97 μB/cell
Density: 3.49 g cm⁻³
Energy relative to the elements, uncorrected: 427 kJ/mol of formula units

---

11.
Here is crystalline ScFe2TeSe at its relaxed geometry from the Alexandria database. Energies are from PBE.

Geometry as POSCAR:
```
ScFe2TeSe
1.0
-3.202 -0.546 -3.781
3.693 -0.749 -3.019
-0.245 -4.894 0.915
Sc Te Fe Se
1 1 2 1
direct
0.000 0.000 0.000
0.500 0.500 0.500
0.500 0.000 0.000
0.000 0.000 0.500
0.000 0.500 0.000
```

Output
Calculated total energy: -5.07 eV/atom
Size of the total moment: 5.56 μB/cell
Density: 5.03 g cm⁻³
Energy relative to the elements, uncorrected: 440 kJ/mol of formula units

---

12.
Here is crystalline Sc3Tl3FeSe8 at its relaxed geometry from the Alexandria database. Energies are from PBE.

Geometry as POSCAR:
```
Sc3Tl3FeSe8
1.0
7.748 0.000 0.000
-3.874 6.711 -0.026
0.000 -4.442 7.801
Se Fe Tl Sc
8 1 3 3
direct
0.779 0.033 0.312
0.746 0.967 0.688
0.267 0.535 0.303
0.733 0.465 0.697
0.221 0.442 0.687
0.254 0.033 0.312
0.221 0.967 0.688
0.779 0.558 0.313
0.000 0.000 0.500
0.000 0.500 0.000
0.500 0.500 0.000
0.000 0.000 0.000
0.500 0.000 0.500
0.500 0.500 0.500
0.000 0.500 0.500
```

Output
Calculated total energy: -5.15 eV/atom
Size of the total moment: 3.53 μB/cell
Density: 5.89 g cm⁻³
Energy relative to the elements, uncorrected: -1430 kJ/mol of formula units

---

13.
Here is crystalline ScFeW2Se at its relaxed geometry from the Alexandria database. Energies are from PBE.

Geometry as POSCAR:
```
ScFeW2Se
1.0
4.577 0.000 0.000
0.000 4.785 0.000
0.000 0.000 4.577
W Sc Fe Se
2 1 1 1
direct
0.000 0.000 0.500
0.500 0.000 0.000
0.000 0.500 0.000
0.500 0.500 0.500
0.000 0.000 0.000
```

Output
Calculated total energy: -7.39 eV/atom
Size of the total moment: 0.02 μB/cell
Density: 9.07 g cm⁻³
Energy relative to the elements, uncorrected: 699 kJ/mol of formula units

---

14.
Here is crystalline ScFe2Si at its relaxed geometry from the Alexandria database. Energies are from PBE.

Geometry as POSCAR:
```
ScFe2Si
1.0
-4.750 -6.527 1.298
-2.574 -7.096 3.141
-4.751 -5.349 3.956
Fe Sc Si
2 1 1
direct
0.259 0.259 0.259
0.001 0.001 0.001
0.503 0.503 0.503
0.738 0.738 0.738
```

Output
Calculated total energy: -7.09 eV/atom
Size of the total moment: 3.69 μB/cell
Density: 5.24 g cm⁻³
Energy relative to the elements, uncorrected: 31 kJ/mol of formula units

---

15.
Here is crystalline ScFe4Si at its relaxed geometry from the Alexandria database. Energies are from PBE.

Geometry as POSCAR:
```
ScFe4Si
1.0
0.000 3.376 3.376
3.376 0.000 3.376
3.376 3.376 0.000
Si Fe Sc
1 4 1
direct
0.000 0.000 0.000
0.374 0.374 0.878
0.878 0.374 0.374
0.374 0.878 0.374
0.374 0.374 0.374
0.750 0.750 0.750
```

Output
Calculated total energy: -7.77 eV/atom
Size of the total moment: 6.44 μB/cell
Density: 6.40 g cm⁻³
Energy relative to the elements, uncorrected: -98 kJ/mol of formula units

---

16.
Here is crystalline ScFe2Si4 at its relaxed geometry from the Alexandria database. Energies are from PBE.

Geometry as POSCAR:
```
ScFe2Si4
1.0
-3.048 -6.934 -2.275
4.181 -3.680 5.614
-2.303 0.370 1.958
Fe Si Sc
4 8 2
direct
0.715 0.715 0.500
0.285 0.285 0.500
0.785 0.215 0.000
0.215 0.785 0.000
0.798 0.436 0.500
0.936 0.702 0.000
0.202 0.564 0.500
0.564 0.202 0.500
0.064 0.298 0.000
0.702 0.936 0.000
0.298 0.064 0.000
0.436 0.798 0.500
0.500 0.500 0.000
0.000 0.000 0.500
```

Output
Calculated total energy: -6.86 eV/atom
Size of the total moment: 1.46 μB/cell
Density: 4.69 g cm⁻³
Energy relative to the elements, uncorrected: -298 kJ/mol of formula units

---

17.
Here is crystalline ScFe3Si7 at its relaxed geometry from the Alexandria database. Energies are from PBE.

Geometry as POSCAR:
```
ScFe3Si7
1.0
-0.438 -3.227 6.477
-5.150 -4.948 1.244
2.042 -7.295 0.561
Si Fe Sc
14 6 2
direct
0.852 0.660 0.411
0.076 0.852 0.411
0.750 0.750 0.750
0.576 0.160 0.911
0.660 0.076 0.411
0.648 0.424 0.089
0.160 0.352 0.911
0.148 0.340 0.589
0.424 0.840 0.089
0.840 0.648 0.089
0.340 0.924 0.589
0.352 0.576 0.911
0.250 0.250 0.250
0.924 0.148 0.589
0.250 0.577 0.250
0.923 0.250 0.250
0.077 0.750 0.750
0.750 0.423 0.750
0.577 0.923 0.250
0.423 0.077 0.750
0.500 0.500 0.500
0.000 0.000 0.000
```

Output
Calculated total energy: -6.75 eV/atom
Size of the total moment: 0.00 μB/cell
Density: 4.71 g cm⁻³
Energy relative to the elements, uncorrected: -437 kJ/mol of formula units

---

18.
Here is crystalline Sc3FeSi at its relaxed geometry from the Alexandria database. Energies are from PBE.

Geometry as POSCAR:
```
Sc3FeSi
1.0
4.698 0.000 0.000
0.000 4.698 0.000
0.000 0.000 4.698
Sc Fe Si
3 1 1
direct
0.000 0.500 0.000
0.500 0.000 0.000
0.000 0.000 0.500
0.000 0.000 0.000
0.500 0.500 0.500
```

Output
Calculated total energy: -6.54 eV/atom
Size of the total moment: 0.00 μB/cell
Density: 3.50 g cm⁻³
Energy relative to the elements, uncorrected: 19 kJ/mol of formula units

---

19.
Here is crystalline Sc2FeSi at its relaxed geometry from the Alexandria database. Energies are from PBE.

Geometry as POSCAR:
```
Sc2FeSi
1.0
3.970 0.000 0.000
0.000 3.535 0.009
0.000 1.757 5.041
Sc Fe Si
2 1 1
direct
0.500 0.271 0.333
0.000 0.979 0.918
0.500 0.560 0.755
0.000 0.691 0.494
```

Output
Calculated total energy: -7.10 eV/atom
Size of the total moment: 1.28 μB/cell
Density: 4.08 g cm⁻³
Energy relative to the elements, uncorrected: -177 kJ/mol of formula units

---

20.
Here is crystalline ScFeSi at its relaxed geometry from the Alexandria database. Energies are from PBE.

Geometry as POSCAR:
```
ScFeSi
1.0
4.210 0.000 0.000
2.105 3.646 0.000
2.105 1.215 3.438
Sc Si Fe
1 1 1
direct
0.500 0.500 0.500
0.750 0.750 0.750
0.000 0.000 0.000
```

Output
Calculated total energy: -6.93 eV/atom
Size of the total moment: 2.27 μB/cell
Density: 4.06 g cm⁻³
Energy relative to the elements, uncorrected: -54 kJ/mol of formula units

---

21.
Here is crystalline Sc2Fe2Si at its relaxed geometry from the Alexandria database. Energies are from PBE.

Geometry as POSCAR:
```
Sc2Fe2Si
1.0
6.068 0.000 0.000
0.000 6.068 0.000
0.000 0.000 4.139
Si Fe Sc
2 4 4
direct
0.500 0.500 0.000
0.000 0.000 0.000
0.373 0.873 0.000
0.627 0.127 0.000
0.873 0.627 0.000
0.127 0.373 0.000
0.680 0.820 0.500
0.820 0.320 0.500
0.320 0.180 0.500
0.180 0.680 0.500
```

Output
Calculated total energy: -7.36 eV/atom
Size of the total moment: 0.00 μB/cell
Density: 5.01 g cm⁻³
Energy relative to the elements, uncorrected: -174 kJ/mol of formula units

---

22.
Here is crystalline ScFe2Si2 at its relaxed geometry from the Alexandria database. Energies are from PBE.

Geometry as POSCAR:
```
ScFe2Si2
1.0
1.922 4.609 -0.001
-1.922 4.609 -0.001
0.000 2.975 7.537
Si Sc Fe
4 2 4
direct
0.057 0.057 0.617
0.726 0.726 0.726
0.274 0.274 0.274
0.943 0.943 0.383
0.611 0.611 0.126
0.389 0.389 0.874
0.902 0.902 0.121
0.098 0.098 0.879
0.659 0.659 0.460
0.341 0.341 0.540
```

Output
Calculated total energy: -7.23 eV/atom
Size of the total moment: 0.00 μB/cell
Density: 5.29 g cm⁻³
Energy relative to the elements, uncorrected: -199 kJ/mol of formula units

---

23.
Here is crystalline Sc4FeSi2 at its relaxed geometry from the Alexandria database. Energies are from PBE.

Geometry as POSCAR:
```
Sc4FeSi2
1.0
-5.486 -2.490 6.235
4.324 -7.471 0.821
2.358 1.666 2.740
Fe Si Sc
2 4 8
direct
0.500 0.500 0.000
0.000 0.000 0.500
0.811 0.811 0.500
0.311 0.689 0.000
0.689 0.311 0.000
0.189 0.189 0.500
0.498 0.232 0.500
0.002 0.732 0.000
0.732 0.002 0.000
0.268 0.998 0.000
0.998 0.268 0.000
0.502 0.768 0.500
0.232 0.498 0.500
0.768 0.502 0.500
```

Output
Calculated total energy: -6.60 eV/atom
Size of the total moment: 1.88 μB/cell
Density: 3.24 g cm⁻³
Energy relative to the elements, uncorrected: -152 kJ/mol of formula units

---

24.
Here is crystalline Sc2FeSi at its relaxed geometry from the Alexandria database. Energies are from PBE.

Geometry as POSCAR:
```
Sc2FeSi
1.0
7.224 0.000 0.000
0.000 7.224 0.000
3.612 3.612 2.639
Fe Sc Si
2 4 2
direct
0.000 0.000 0.000
0.750 0.250 0.500
0.675 0.125 0.250
0.375 0.325 0.750
0.875 0.925 0.750
0.075 0.625 0.250
0.500 0.500 0.000
0.250 0.750 0.500
```

Output
Calculated total energy: -6.51 eV/atom
Size of the total moment: 0.00 μB/cell
Density: 4.19 g cm⁻³
Energy relative to the elements, uncorrected: 50 kJ/mol of formula units

---

25.
Here is crystalline Sc2FeSi at its relaxed geometry from the Alexandria database. Energies are from PBE.

Geometry as POSCAR:
```
Sc2FeSi
1.0
-1.393 -6.179 -5.321
1.694 -5.610 -5.839
0.805 -7.485 -3.428
Sc Si Fe
2 1 1
direct
0.495 0.495 0.495
0.005 0.005 0.005
0.250 0.250 0.250
0.750 0.750 0.750
```

Output
Calculated total energy: -6.71 eV/atom
Size of the total moment: 1.02 μB/cell
Density: 4.08 g cm⁻³
Energy relative to the elements, uncorrected: -27 kJ/mol of formula units

---

26.
Here is crystalline Sc3Fe2Si4 at its relaxed geometry from the Alexandria database. Energies are from PBE.

Geometry as POSCAR:
```
Sc3Fe2Si4
1.0
3.981 0.000 0.000
-1.990 4.934 -0.146
0.000 -2.201 7.185
Si Fe Sc
4 2 3
direct
0.096 0.192 0.408
0.719 0.439 0.079
0.904 0.808 0.592
0.281 0.561 0.921
0.681 0.362 0.359
0.319 0.638 0.641
0.377 0.755 0.308
0.000 0.000 0.000
0.623 0.245 0.692
```

Output
Calculated total energy: -7.13 eV/atom
Size of the total moment: 0.00 μB/cell
Density: 4.26 g cm⁻³
Energy relative to the elements, uncorrected: -632 kJ/mol of formula units